(1)
A relaxed structure of NdGd2Ho. Source: the Alexandria database, functional PBE.

Cell and atoms, written as CIF:
```
data_NdGd2Ho
_space_group_name_H-M_alt 'P 1'
_space_group_IT_number 1
_cell_length_a 3.5950
_cell_length_b 3.5950
_cell_length_c 10.1444
_cell_angle_alpha 90.00
_cell_angle_beta 90.00
_cell_angle_gamma 90.00
loop_
_space_group_symop_operation_xyz
'x,y,z'
loop_
_atom_site_label
_atom_site_type_symbol
_atom_site_fract_x
_atom_site_fract_y
_atom_site_fract_z
Nd1 Nd 0.5000 0.5000 0.5000
Ho1 Ho 0.5000 0.5000 0.0000
Gd1 Gd 0.0000 0.0000 0.7550
Gd2 Gd 0.0000 0.0000 0.2450
```

## Properties
**Formation energy from the elements**: 0.10 eV per formula unit
**Space-group type**: P4/mmm (123)
**Volume**: 131.1 Å³ per cell
**Offset from the most stable computed form**: 5.1 meV per atom

***

(2)
A relaxed structure of NdGd2Ho. Source: the Alexandria database, functional PBE.

Cell and atoms, written as CIF:
```
data_NdGd2Ho
_space_group_name_H-M_alt 'P 1'
_space_group_IT_number 1
_cell_length_a 5.7089
_cell_length_b 5.7089
_cell_length_c 5.7089
_cell_angle_alpha 60.00
_cell_angle_beta 60.00
_cell_angle_gamma 60.00
loop_
_space_group_symop_operation_xyz
'x,y,z'
loop_
_atom_site_label
_atom_site_type_symbol
_atom_site_fract_x
_atom_site_fract_y
_atom_site_fract_z
Gd1 Gd 0.7500 0.7500 0.7500
Gd2 Gd 0.2500 0.2500 0.2500
Ho1 Ho 0.5000 0.5000 0.5000
Nd1 Nd 0.0000 0.0000 0.0000
```

## Properties
**Formation energy from the elements**: 0.37 eV per formula unit
**Space-group type**: Fm-3m (225)
**Volume**: 131.6 Å³ per cell
**Offset from the most stable computed form**: 72.3 meV per atom

***

(3)
A relaxed structure of NdGdHo2. Source: the Alexandria database, functional PBE.

Cell and atoms, written as CIF:
```
data_NdGdHo2
_space_group_name_H-M_alt 'P 1'
_space_group_IT_number 1
_cell_length_a 5.0267
_cell_length_b 5.0718
_cell_length_c 5.0718
_cell_angle_alpha 90.00
_cell_angle_beta 90.00
_cell_angle_gamma 90.00
loop_
_space_group_symop_operation_xyz
'x,y,z'
loop_
_atom_site_label
_atom_site_type_symbol
_atom_site_fract_x
_atom_site_fract_y
_atom_site_fract_z
Gd1 Gd 0.5000 0.5000 0.5000
Nd1 Nd 0.5000 0.0000 0.0000
Ho1 Ho 0.0000 0.5000 0.0000
Ho2 Ho 0.0000 0.0000 0.5000
```

## Properties
**Formation energy from the elements**: 0.07 eV per formula unit
**Space-group type**: P4/mmm (123)
**Volume**: 129.3 Å³ per cell
**Offset from the most stable computed form**: 0.0 meV per atom

***

- offset from the most stable computed form of number 2 (NdGd2Ho)?
  72.3 meV per atom

***

- Which value of formation energy from the elements does entry 1 give?
  0.10 eV per formula unit